# Ba2CdAg3As4

A relaxed Ba2CdAg3As4 crystal (PBE, Alexandria).

abc: 4.687 4.687 11.198
angles: 90.00 90.00 90.00
Space group P-4m2 (No. 115)
Inequivalent atoms, fractional coordinates:
Ba 0.000 0.500 0.241 (multiplicity 2)
Cd 0.000 0.000 0.500 (multiplicity 1)
Ag 0.000 0.500 0.879 (multiplicity 2)
Ag 0.500 0.500 0.500 (multiplicity 1)
As 0.000 0.000 0.000 (multiplicity 1)
As 0.000 0.500 0.641 (multiplicity 2)
As 0.500 0.500 0.000 (multiplicity 1)


# Ba6AgAs2Cl3

A relaxed Ba6AgAs2Cl3 crystal (PBE, Alexandria).

abc: 20.510 4.746 9.575
angles: 90.00 103.53 90.00
Space group C2/m (No. 12)
Inequivalent atoms, fractional coordinates:
Ba 0.001 0.000 0.254 (multiplicity 4)
Ba 0.165 0.500 0.101 (multiplicity 4)
Ba 0.172 0.500 0.572 (multiplicity 4)
Ag 0.000 0.500 0.000 (multiplicity 2)
As 0.163 0.000 0.333 (multiplicity 4)
Cl 0.000 0.500 0.500 (multiplicity 2)
Cl 0.171 0.000 0.835 (multiplicity 4)

energy relative to the elements, uncorrected	-1.436	eV/atom


The following raw total energy values (in eV/atom) correspond, in order, to the records above: -3.7013, -3.8714.
The following volume values (in Å³ per atom) correspond, in order, to the records above: 24.6, 37.8.